[1]
Here is an optimized crystal structure of Sc3InGa from Alexandria via LeMat-Bulk. Energies are from PBE.

The space group is Pm-3m (No. 221) and the conventional cell measures 5.067, 5.067 and 5.067 Å, with angles of 90.00, 90.00 and 90.00 degrees. Symmetry generates all atoms from Sc at (0.000, 0.000, 0.500), In at (0.500, 0.500, 0.500) and Ga at (0.000, 0.000, 0.000).

The calculation puts the energy of formation from the pure elements at -0.38 eV/f.u.

[2]
Here is an optimized crystal structure of MoCl2 from Alexandria via LeMat-Bulk. Energies are from PBE.

The space group is C2/m (No. 12) and the conventional cell measures 14.864, 3.019 and 9.013 Å, with angles of 90.00, 124.53 and 90.00 degrees. Symmetry generates all atoms from Mo at (0.195, 0.000, 0.353), Cl at (0.044, 0.500, 0.270) and Cl at (0.227, 0.000, 0.758).

Per-record E above lowest polymorph, meV per atom: 218; 422
Per-record E_tot, eV per atom: -5.029; -5.359